Material: CaLa
Method: DFT, SCAN
State: PBEsol geometry

Summary:
- energy of formation (eV/atom) = 0.06
- calculated density (kg/m3) = 4031
- N(E_F) (states/eV per atom) = 1.204

a b c (Å): 13.9981 3.7139 8.7955
angles (deg): 90.00 104.65 90.00
Space group Cm (No. 8)
Symmetry-distinct sites (fractional):
Ca  0.0000  0.0000  0.0000 x2
Ca  0.0444  0.0000  0.6115 x2
Ca  0.1558  0.5000  0.3330 x2
La  0.2323  0.5000  0.9398 x2
La  0.3208  0.0000  0.6735 x2
La  0.3673  0.0000  0.2696 x2